Here is a relaxed structure of InHg from Alexandria via LeMat-Bulk. Energies are from GGA-PBE.

a = 9.0601 Å, b = 9.0601 Å, c = 9.0601 Å
α = 90.00°, β = 90.00°, γ = 90.00°
Space group I-43m (No. 217)
Symmetry-distinct sites (fractional):
In (0.1342, 0.1342, 0.1342) x8
Hg (0.1870, 0.1870, 0.8130) x8

Computed properties:
volume: 46.5 A^3/atom
total energy: -1.271 eV per atom
formation energy: 0.249 eV/atom
crystal system: cubic